La2CeMg | PBE | optimized geometry

CIF file:
```
data_La2CeMg
_chemical_formula_sum 'La8 Ce4 Mg4'
_space_group_name_H-M_alt 'F m -3 m'
_space_group_IT_number 225
_space_group_name_Hall '-F 4 2 3'
_cell_length_a 8.0143
_cell_length_b 8.0143
_cell_length_c 8.0143
_cell_angle_alpha 90.00
_cell_angle_beta 90.00
_cell_angle_gamma 90.00
loop_
_atom_site_label
_atom_site_type_symbol
_atom_site_fract_x
_atom_site_fract_y
_atom_site_fract_z
La1 La 0.2500 0.2500 0.2500
Ce1 Ce 0.0000 0.0000 0.0000
Mg1 Mg 0.0000 0.0000 0.5000
```

Results
DFT total energy in eV/atom: -4.2251
DFT formation energy in eV/atom: 0.12
Magnetic moment in μB per atom: 0.379
Crystal system: cubic